(1)
# BaHgBi2Pt (GGA-PBEsol, optimized geometry)
data_BaHgBi2Pt
_space_group_name_H-M_alt 'P 4/m m m'
_space_group_IT_number 123
_space_group_name_Hall '-P 4 2'
_cell_length_a 6.2967
_cell_length_b 6.2967
_cell_length_c 5.3008
_cell_angle_alpha 90.00
_cell_angle_beta 90.00
_cell_angle_gamma 90.00
loop_
_atom_site_label
_atom_site_type_symbol
_atom_site_fract_x
_atom_site_fract_y
_atom_site_fract_z
Ba1 Ba 0.0000 0.0000 0.0000
Hg1 Hg 0.5000 0.5000 0.5000
Bi1 Bi 0.0000 0.5000 0.0000
Pt1 Pt 0.0000 0.0000 0.5000
# Formation energy from the elements   113.5 kJ/mol of atoms
# Magnetic moment   0.00 μB/f.u.



(2)
# Hf3HRh (GGA-PBEsol, optimized geometry)
data_Hf3HRh
_space_group_name_H-M_alt 'P m -3 m'
_space_group_IT_number 221
_space_group_name_Hall '-P 4 2 3'
_cell_length_a 4.2568
_cell_length_b 4.2568
_cell_length_c 4.2568
_cell_angle_alpha 90.00
_cell_angle_beta 90.00
_cell_angle_gamma 90.00
loop_
_atom_site_label
_atom_site_type_symbol
_atom_site_fract_x
_atom_site_fract_y
_atom_site_fract_z
Hf1 Hf 0.0000 0.0000 0.5000
H1 H 0.0000 0.0000 0.0000
Rh1 Rh 0.5000 0.5000 0.5000
# Magnetic moment   0.00 μB/f.u.



(3)
# Li3HgAu (GGA-PBEsol, optimized geometry)
data_Li3HgAu
_space_group_name_H-M_alt 'P m -3 m'
_space_group_IT_number 221
_space_group_name_Hall '-P 4 2 3'
_cell_length_a 4.7637
_cell_length_b 4.7637
_cell_length_c 4.7637
_cell_angle_alpha 90.00
_cell_angle_beta 90.00
_cell_angle_gamma 90.00
loop_
_atom_site_label
_atom_site_type_symbol
_atom_site_fract_x
_atom_site_fract_y
_atom_site_fract_z
Li1 Li 0.0000 0.0000 0.5000
Hg1 Hg 0.5000 0.5000 0.5000
Au1 Au 0.0000 0.0000 0.0000
# Formation energy from the elements   -10.6 kJ/mol of atoms
# Magnetic moment   0.00 μB/f.u.
# Relative energy among the computed polymorphs   0 meV/atom



Going through the records in order, we get electronic total energy values of -12.37, -44.37, -10.94 eV/cell.